Record 1
First-principles (PBE) data for an optimized crystal structure of Pr2Sm6DyTm, as listed in the Alexandria database.

Summary:
The value obtained for the uncorrected energy is -4.58 eV per atom. The value obtained for the calculated volume is 1359.7 Å³/cell. Its density of states at the Fermi level is 56.465 states/eV per cell. The value obtained for the spin magnetization is 0.0 μB per cell.

Structure (CIF):
```
data_Pr2Sm6DyTm
_cell_length_a 9.1552
_cell_length_b 15.2874
_cell_length_c 9.8290
_cell_angle_alpha 90.00
_cell_angle_beta 98.73
_cell_angle_gamma 90.00
_space_group_name_H-M_alt 'C 1 2/c 1'
_space_group_IT_number 15
loop_
_space_group_symop_operation_xyz
'x,y,z'
'-x,-y,-z'
'-x,y,-z+1/2'
'x,-y,z+1/2'
'x+1/2,y+1/2,z'
'-x+1/2,-y+1/2,-z'
'-x+1/2,y+1/2,-z+1/2'
'x+1/2,-y+1/2,z+1/2'
loop_
_atom_site_label
_atom_site_fract_x
_atom_site_fract_y
_atom_site_fract_z
Pr1 0.2462 0.0511 0.0418
Sm1 0.0632 0.1879 0.4437
Sm2 0.1033 0.3953 0.6196
Sm3 0.2035 0.2209 0.8104
Dy1 0.0000 0.0181 0.7500
Tm1 0.0000 0.4077 0.2500
```

Record 2
First-principles (PBE) data for an optimized crystal structure of Pr2Sb3PPd4, as listed in the Alexandria database.

Summary:
The value obtained for the uncorrected energy is -5.63 eV per atom. The value obtained for the calculated volume is 218.2 Å³/cell. Its density of states at the Fermi level is 3.368 states/eV per cell. The value obtained for the spin magnetization is 0.0 μB per cell. The value obtained for the uncorrected formation energy is -0.822 eV per atom.

Structure (CIF):
```
data_Pr2Sb3PPd4
_cell_length_a 4.6064
_cell_length_b 4.6064
_cell_length_c 10.2811
_cell_angle_alpha 90.00
_cell_angle_beta 90.00
_cell_angle_gamma 90.00
_space_group_name_H-M_alt 'P -4 m 2'
_space_group_IT_number 115
loop_
_space_group_symop_operation_xyz
'x,y,z'
'y,-x,-z'
'-x,-y,z'
'-y,x,-z'
'-x,y,z'
'-y,-x,-z'
'x,-y,z'
'y,x,-z'
loop_
_atom_site_label
_atom_site_fract_x
_atom_site_fract_y
_atom_site_fract_z
Pr1 0.0000 0.5000 0.2428
Sb1 0.0000 0.0000 0.0000
Sb2 0.0000 0.5000 0.6334
P1 0.5000 0.5000 0.0000
Pd1 0.0000 0.0000 0.5000
Pd2 0.0000 0.5000 0.8876
Pd3 0.5000 0.5000 0.5000
```

Record 3
First-principles (PBE) data for an optimized crystal structure of CrGaAg2P, as listed in the Alexandria database.

Summary:
The value obtained for the uncorrected energy is -4.09 eV per atom. The value obtained for the calculated volume is 111.0 Å³/cell. Its density of states at the Fermi level is 2.269 states/eV per cell. The value obtained for the spin magnetization is 5.1 μB per cell.

Structure (CIF):
```
data_CrGaAg2P
_cell_length_a 4.7229
_cell_length_b 4.7229
_cell_length_c 4.9775
_cell_angle_alpha 90.00
_cell_angle_beta 90.00
_cell_angle_gamma 90.00
_space_group_name_H-M_alt 'P 4/m m m'
_space_group_IT_number 123
_space_group_name_Hall '-P 4 2'
loop_
_atom_site_label
_atom_site_fract_x
_atom_site_fract_y
_atom_site_fract_z
Cr1 0.0000 0.0000 0.0000
Ga1 0.5000 0.5000 0.0000
Ag1 0.0000 0.5000 0.5000
P1 0.5000 0.5000 0.5000
```

Record 4
First-principles (PBE) data for an optimized crystal structure of ErTl2Br3Cl3, as listed in the Alexandria database.

Summary:
The value obtained for the uncorrected energy is -3.50 eV per atom. The value obtained for the calculated volume is 250.9 Å³/cell. Its density of states at the Fermi level is 5.577 states/eV per cell. The value obtained for the spin magnetization is 0.0 μB per cell. The value obtained for the uncorrected formation energy is -1.289 eV per atom.

Structure (CIF):
```
data_ErTl2Br3Cl3
_cell_length_a 8.6817
_cell_length_b 8.6817
_cell_length_c 3.8432
_cell_angle_alpha 90.00
_cell_angle_beta 90.00
_cell_angle_gamma 120.00
_space_group_name_H-M_alt 'P -6 2 m'
_space_group_IT_number 189
_space_group_name_Hall 'P -6 -2'
loop_
_atom_site_label
_atom_site_fract_x
_atom_site_fract_y
_atom_site_fract_z
Er1 0.0000 0.0000 0.0000
Tl1 0.3333 0.6667 0.5000
Br1 0.0000 0.4170 0.0000
Cl1 0.0000 0.7816 0.5000
```

Record 5
First-principles (PBE) data for an optimized crystal structure of Ta2CuCl, as listed in the Alexandria database.

Summary:
The value obtained for the uncorrected energy is -7.04 eV per atom. The value obtained for the calculated volume is 128.7 Å³/cell. Its density of states at the Fermi level is 3.403 states/eV per cell. The value obtained for the spin magnetization is 0.0 μB per cell. The value obtained for the uncorrected formation energy is 0.376 eV per atom.

Structure (CIF):
```
data_Ta2CuCl
_cell_length_a 9.7468
_cell_length_b 2.9074
_cell_length_c 4.7201
_cell_angle_alpha 90.00
_cell_angle_beta 105.77
_cell_angle_gamma 90.00
_space_group_name_H-M_alt 'C 1 m 1'
_space_group_IT_number 8
loop_
_space_group_symop_operation_xyz
'x,y,z'
'x,-y,z'
'x+1/2,y+1/2,z'
'x+1/2,-y+1/2,z'
loop_
_atom_site_label
_atom_site_fract_x
_atom_site_fract_y
_atom_site_fract_z
Ta1 0.0000 0.0000 0.0000
Ta2 0.2225 0.0000 0.6496
Cu1 0.2430 0.5000 0.1447
Cl1 0.0031 0.5000 0.4897
```

Record 6
First-principles (PBE) data for an optimized crystal structure of NaLi6Cu6, as listed in the Alexandria database.

Summary:
The value obtained for the uncorrected energy is -2.91 eV per atom. The value obtained for the calculated volume is 390.2 Å³/cell. Its density of states at the Fermi level is 7.916 states/eV per cell. The value obtained for the spin magnetization is 0.0 μB per cell.

Structure (CIF):
```
data_NaLi6Cu6
_cell_length_a 4.9500
_cell_length_b 8.7575
_cell_length_c 9.0011
_cell_angle_alpha 90.00
_cell_angle_beta 90.00
_cell_angle_gamma 90.00
_space_group_name_H-M_alt 'I m m m'
_space_group_IT_number 71
_space_group_name_Hall '-I 2 2'
loop_
_atom_site_label
_atom_site_fract_x
_atom_site_fract_y
_atom_site_fract_z
Na1 0.0000 0.0000 0.0000
Li1 0.0000 0.0000 0.3388
Li2 0.0000 0.3139 0.5000
Li3 0.0000 0.3481 0.0000
Cu1 0.0000 0.5000 0.2605
Cu2 0.2500 0.2500 0.2500
```

Record 7
First-principles (PBE) data for an optimized crystal structure of Ce2Nd5Ga5, as listed in the Alexandria database.

Summary:
The value obtained for the uncorrected energy is -4.62 eV per atom. The value obtained for the calculated volume is 646.3 Å³/cell. Its density of states at the Fermi level is 33.487 states/eV per cell. The value obtained for the spin magnetization is 1.0 μB per cell.

Structure (CIF):
```
data_Ce2Nd5Ga5
_cell_length_a 8.9624
_cell_length_b 5.1747
_cell_length_c 14.2495
_cell_angle_alpha 90.00
_cell_angle_beta 102.04
_cell_angle_gamma 90.00
_space_group_name_H-M_alt 'C 1 2/m 1'
_space_group_IT_number 12
loop_
_space_group_symop_operation_xyz
'x,y,z'
'-x,-y,-z'
'-x,y,-z'
'x,-y,z'
'x+1/2,y+1/2,z'
'-x+1/2,-y+1/2,-z'
'-x+1/2,y+1/2,-z'
'x+1/2,-y+1/2,z'
loop_
_atom_site_label
_atom_site_fract_x
_atom_site_fract_y
_atom_site_fract_z
Ce1 0.0713 0.0000 0.2141
Nd1 0.0000 0.5000 0.5000
Nd2 0.1900 0.5000 0.0703
Nd3 0.2194 0.0000 0.6584
Ga1 0.0000 0.0000 0.0000
Ga2 0.0998 0.5000 0.7991
Ga3 0.1432 0.0000 0.4300
```

Record 8
First-principles (PBE) data for an optimized crystal structure of Nd6SnRh3, as listed in the Alexandria database.

Summary:
The value obtained for the uncorrected energy is -6.04 eV per atom. The value obtained for the calculated volume is 584.5 Å³/cell. Its density of states at the Fermi level is 14.218 states/eV per cell. The value obtained for the spin magnetization is 0.0 μB per cell.

Structure (CIF):
```
data_Nd6SnRh3
_cell_length_a 11.8018
_cell_length_b 4.2719
_cell_length_c 12.2092
_cell_angle_alpha 90.00
_cell_angle_beta 108.28
_cell_angle_gamma 90.00
_space_group_name_H-M_alt 'P 1 21/m 1'
_space_group_IT_number 11
loop_
_space_group_symop_operation_xyz
'x,y,z'
'-x,-y,-z'
'-x,y+1/2,-z'
'x,-y+1/2,z'
loop_
_atom_site_label
_atom_site_fract_x
_atom_site_fract_y
_atom_site_fract_z
Nd1 0.0278 0.2500 0.3906
Nd2 0.1091 0.2500 0.9477
Nd3 0.2157 0.7500 0.2660
Nd4 0.2958 0.7500 0.7639
Nd5 0.3631 0.2500 0.5360
Nd6 0.4233 0.7500 0.0916
Sn1 0.4478 0.2500 0.3053
Rh1 0.0478 0.2500 0.1637
Rh2 0.1807 0.7500 0.5016
Rh3 0.3431 0.2500 0.9206
```